No. 1
# CsLiAg3, relaxed, DFT PBE
# - size of the total moment (μB/f.u.) = 0.0
# - formation enthalpy at 0 K (eV per atom) = 0.2427
data_CsLiAg3
_chemical_formula_sum 'Cs1 Li1 Ag3'
_space_group_name_H-M_alt 'P 1'
_space_group_IT_number 1
_cell_length_a 5.232
_cell_length_b 5.232
_cell_length_c 5.232
_cell_angle_alpha 90.00
_cell_angle_beta 90.00
_cell_angle_gamma 90.00
loop_
_space_group_symop_operation_xyz
'x,y,z'
loop_
_atom_site_label
_atom_site_type_symbol
_atom_site_fract_x
_atom_site_fract_y
_atom_site_fract_z
Ag1 Ag 0.000 0.000 0.500
Ag2 Ag 0.500 0.000 0.000
Ag3 Ag 0.000 0.500 0.000
Cs1 Cs 0.500 0.500 0.500
Li1 Li 0.000 0.000 0.000

=====

No. 2
# MgCd2Tc, relaxed, DFT PBE
# - size of the total moment (μB/f.u.) = 0.0
# - formation enthalpy at 0 K (eV per atom) = 0.2792
data_MgCd2Tc
_chemical_formula_sum 'Mg1 Cd2 Tc1'
_space_group_name_H-M_alt 'P 1'
_space_group_IT_number 1
_cell_length_a 5.740
_cell_length_b 5.740
_cell_length_c 5.740
_cell_angle_alpha 148.94
_cell_angle_beta 129.63
_cell_angle_gamma 60.37
loop_
_space_group_symop_operation_xyz
'x,y,z'
loop_
_atom_site_label
_atom_site_type_symbol
_atom_site_fract_x
_atom_site_fract_y
_atom_site_fract_z
Mg1 Mg 0.486 0.486 0.000
Cd1 Cd 0.011 0.011 0.000
Cd2 Cd 0.751 0.251 0.500
Tc1 Tc 0.253 0.753 0.500

=====

No. 3
# Er5Cd2Sb, relaxed, DFT PBE
# - size of the total moment (μB/f.u.) = 0.0
# - formation energy (no corrections) (kJ/mol of formula units) = -320
data_Er5Cd2Sb
_chemical_formula_sum 'Er10 Cd4 Sb2'
_space_group_name_H-M_alt 'P 1'
_space_group_IT_number 1
_cell_length_a 8.241
_cell_length_b 8.241
_cell_length_c 8.668
_cell_angle_alpha 118.38
_cell_angle_beta 118.38
_cell_angle_gamma 90.00
loop_
_space_group_symop_operation_xyz
'x,y,z'
loop_
_atom_site_label
_atom_site_type_symbol
_atom_site_fract_x
_atom_site_fract_y
_atom_site_fract_z
Er1 Er 0.496 0.305 0.301
Er2 Er 0.504 0.695 0.699
Er3 Er 0.004 0.504 0.699
Er4 Er 0.305 0.805 0.301
Er5 Er 0.000 0.000 0.000
Er6 Er 0.195 0.004 0.699
Er7 Er 0.695 0.195 0.699
Er8 Er 0.500 0.500 0.000
Er9 Er 0.805 0.996 0.301
Er10 Er 0.996 0.496 0.301
Sb1 Sb 0.250 0.250 0.500
Sb2 Sb 0.750 0.750 0.500
Cd1 Cd 0.862 0.638 0.000
Cd2 Cd 0.138 0.362 0.000
Cd3 Cd 0.638 0.138 0.000
Cd4 Cd 0.362 0.862 0.000